(1)
First-principles (PBE-GGA) data for RbTi2S2 after structural relaxation, as listed in Alexandria.

Unit cell a=7.9112 b=7.9112 c=3.2182 alpha=90.00 beta=90.00 gamma=90.00
Fractional positions:
1 Rb 0.0000 0.0000 0.0000
2 Rb 0.5000 0.5000 0.0000
3 Ti 0.1066 0.3934 0.0000
4 Ti 0.3934 0.8934 0.0000
5 Ti 0.6066 0.1066 0.0000
6 Ti 0.8934 0.6066 0.0000
7 S 0.1455 0.6455 0.5000
8 S 0.3545 0.1455 0.5000
9 S 0.6455 0.8545 0.5000
10 S 0.8545 0.3545 0.5000

## Properties
Formation energy (no corrections), meV/atom: -418.9
DFT total energy, eV/cell: -54.21


(2)
First-principles (PBE-GGA) data for Rb3TiS3 after structural relaxation, as listed in Alexandria.

Unit cell a=8.0717 b=8.0717 c=7.9646 alpha=97.97 beta=97.97 gamma=113.78
Fractional positions:
1 Rb 0.1752 0.8248 0.0000
2 Rb 0.2667 0.7333 0.5000
3 Rb 0.3867 0.3867 0.1456
4 Rb 0.6133 0.6133 0.8544
5 Rb 0.7333 0.2667 0.5000
6 Rb 0.8248 0.1752 0.0000
7 Ti 0.1532 0.1532 0.6369
8 Ti 0.8468 0.8468 0.3631
9 S 0.1051 0.1051 0.3298
10 S 0.1454 0.4242 0.7679
11 S 0.4242 0.1454 0.7679
12 S 0.5758 0.8546 0.2321
13 S 0.8546 0.5758 0.2321
14 S 0.8949 0.8949 0.6702

## Properties
Formation energy (no corrections), meV/atom: -1274.7
DFT total energy, eV/cell: -64.21


(3)
First-principles (PBE-GGA) data for RbTi2S2 after structural relaxation, as listed in Alexandria.

Unit cell a=5.7798 b=5.7798 c=5.7798 alpha=130.58 beta=130.58 gamma=72.48
Fractional positions:
1 Rb 0.0000 0.0000 0.0000
2 Ti 0.3484 0.3484 0.0000
3 Ti 0.6516 0.6516 0.0000
4 S 0.2500 0.7500 0.5000
5 S 0.7500 0.2500 0.5000

## Properties
Formation energy (no corrections), meV/atom: -601.2
DFT total energy, eV/cell: -28.02


(4)
First-principles (PBE-GGA) data for Rb5Ti2S6 after structural relaxation, as listed in Alexandria.

Unit cell a=7.7406 b=7.7406 c=17.2434 alpha=99.95 beta=99.95 gamma=64.98
Fractional positions:
1 Rb 0.1282 0.8718 0.7500
2 Rb 0.1822 0.7052 0.0020
3 Rb 0.2508 0.4335 0.2778
4 Rb 0.2948 0.8178 0.4980
5 Rb 0.4335 0.2508 0.7778
6 Rb 0.5665 0.7492 0.2222
7 Rb 0.7052 0.1822 0.5020
8 Rb 0.7492 0.5665 0.7222
9 Rb 0.8178 0.2948 0.9980
10 Rb 0.8718 0.1282 0.2500
11 Ti 0.1331 0.4114 0.5710
12 Ti 0.4114 0.1331 0.0710
13 Ti 0.5886 0.8669 0.9290
14 Ti 0.8669 0.5886 0.4290
15 S 0.0985 0.1991 0.6372
16 S 0.1479 0.3012 0.4353
17 S 0.1991 0.0985 0.1372
18 S 0.3012 0.1479 0.9353
19 S 0.3839 0.4853 0.6255
20 S 0.4853 0.3839 0.1255
21 S 0.5147 0.6161 0.8745
22 S 0.6161 0.5147 0.3745
23 S 0.6988 0.8521 0.0647
24 S 0.8009 0.9015 0.8628
25 S 0.8521 0.6988 0.5647
26 S 0.9015 0.8009 0.3628

## Properties
Formation energy (no corrections), meV/atom: -1358.8
DFT total energy, eV/cell: -126.11


(5)
First-principles (PBE-GGA) data for RbTiTlS3 after structural relaxation, as listed in Alexandria.

Unit cell a=8.3040 b=8.3040 c=6.6009 alpha=95.37 beta=95.37 gamma=127.31
Fractional positions:
1 Rb 0.2396 0.7604 0.7500
2 Rb 0.7604 0.2396 0.2500
3 Ti 0.0463 0.9537 0.2500
4 Ti 0.9537 0.0463 0.7500
5 Tl 0.4108 0.5892 0.2500
6 Tl 0.5892 0.4108 0.7500
7 S 0.1768 0.2460 0.5025
8 S 0.1969 0.8031 0.2500
9 S 0.2460 0.1768 0.0025
10 S 0.7540 0.8232 0.9975
11 S 0.8031 0.1969 0.7500
12 S 0.8232 0.7540 0.4975

## Properties
Formation energy (no corrections), meV/atom: -1086.4
DFT total energy, eV/cell: -60.26


(6)
First-principles (PBE-GGA) data for RbTiTl2S4 after structural relaxation, as listed in Alexandria.

Unit cell a=8.3539 b=8.3539 c=8.3539 alpha=124.82 beta=116.88 gamma=88.68
Fractional positions:
1 Rb 0.0000 0.0000 0.0000
2 Rb 0.5000 0.0000 0.5000
3 Ti 0.5000 0.0000 0.0000
4 Ti 0.5000 0.5000 0.5000
5 Tl 0.0000 0.0000 0.5000
6 Tl 0.0000 0.5000 0.0000
7 Tl 0.0000 0.5000 0.5000
8 Tl 0.5000 0.5000 0.0000
9 S 0.2976 0.3167 0.5191
10 S 0.2976 0.7786 0.9809
11 S 0.2996 0.7440 0.5557
12 S 0.3117 0.2560 0.0557
13 S 0.6883 0.7440 0.9443
14 S 0.7004 0.2560 0.4443
15 S 0.7024 0.2214 0.0191
16 S 0.7024 0.6833 0.4809

## Properties
Formation energy (no corrections), meV/atom: -708.1
DFT total energy, eV/cell: -71.54


(7)
First-principles (PBE-GGA) data for Rb2Tm2TiS6 after structural relaxation, as listed in Alexandria.

Unit cell a=6.6167 b=6.6167 c=8.1782 alpha=98.18 beta=98.18 gamma=119.54
Fractional positions:
1 Rb 0.1710 0.8290 0.0000
2 Rb 0.8290 0.1710 0.0000
3 Tm 0.3330 0.6670 0.5000
4 Tm 0.6670 0.3330 0.5000
5 Ti 0.0000 0.0000 0.5000
6 S 0.0641 0.3728 0.6819
7 S 0.2449 0.2449 0.3199
8 S 0.3728 0.0641 0.6819
9 S 0.6272 0.9359 0.3181
10 S 0.7551 0.7551 0.6801
11 S 0.9359 0.6272 0.3181

## Properties
Formation energy (no corrections), meV/atom: -1687.6
DFT total energy, eV/cell: -62.10


(8)
First-principles (PBE-GGA) data for Rb4Tm3TiS8 after structural relaxation, as listed in Alexandria.

Unit cell a=8.9078 b=8.9078 c=8.9078 alpha=52.70 beta=52.70 gamma=52.70
Fractional positions:
1 Rb 0.0000 0.0000 0.0000
2 Rb 0.0000 0.5000 0.5000
3 Rb 0.5000 0.0000 0.5000
4 Rb 0.5000 0.5000 0.0000
5 Tm 0.0000 0.0000 0.5000
6 Tm 0.0000 0.5000 0.0000
7 Tm 0.5000 0.0000 0.0000
8 Ti 0.5000 0.5000 0.5000
9 S 0.2306 0.2306 0.2306
10 S 0.2434 0.7208 0.7208
11 S 0.2792 0.2792 0.7566
12 S 0.2792 0.7566 0.2792
13 S 0.7208 0.2434 0.7208
14 S 0.7208 0.7208 0.2434
15 S 0.7566 0.2792 0.2792
16 S 0.7694 0.7694 0.7694

## Properties
Formation energy (no corrections), meV/atom: -1680.9
DFT total energy, eV/cell: -85.09


(9)
First-principles (PBE-GGA) data for RbTmTiS4 after structural relaxation, as listed in Alexandria.

Unit cell a=6.5731 b=6.8165 c=9.1564 alpha=90.00 beta=108.60 gamma=90.00
Fractional positions:
1 Rb 0.2350 0.2500 0.4421
2 Rb 0.7650 0.7500 0.5579
3 Tm 0.2941 0.2500 0.9558
4 Tm 0.7059 0.7500 0.0442
5 Ti 0.2573 0.7500 0.1605
6 Ti 0.7427 0.2500 0.8395
7 S 0.0365 0.7500 0.9216
8 S 0.0500 0.7500 0.3134
9 S 0.4991 0.5011 0.8070
10 S 0.4991 0.9989 0.8070
11 S 0.5009 0.0011 0.1930
12 S 0.5009 0.4989 0.1930
13 S 0.9500 0.2500 0.6866
14 S 0.9635 0.2500 0.0785

## Properties
Formation energy (no corrections), meV/atom: -1584.9
DFT total energy, eV/cell: -81.88


(10)
First-principles (PBE-GGA) data for Rb3Tm3TiS8 after structural relaxation, as listed in Alexandria.

Unit cell a=9.0236 b=9.0236 c=9.0236 alpha=51.10 beta=51.10 gamma=51.10
Fractional positions:
1 Rb 0.0000 0.5000 0.5000
2 Rb 0.5000 0.0000 0.5000
3 Rb 0.5000 0.5000 0.0000
4 Tm 0.0000 0.0000 0.5000
5 Tm 0.0000 0.5000 0.0000
6 Tm 0.5000 0.0000 0.0000
7 Ti 0.5000 0.5000 0.5000
8 S 0.2300 0.2300 0.2300
9 S 0.2502 0.7143 0.7143
10 S 0.2857 0.2857 0.7498
11 S 0.2857 0.7498 0.2857
12 S 0.7143 0.2502 0.7143
13 S 0.7143 0.7143 0.2502
14 S 0.7498 0.2857 0.2857
15 S 0.7700 0.7700 0.7700

## Properties
Formation energy (no corrections), meV/atom: -1725.9
DFT total energy, eV/cell: -83.12


(11)
First-principles (PBE-GGA) data for RbUTiS3 after structural relaxation, as listed in Alexandria.

Unit cell a=9.1766 b=3.9703 c=9.7232 alpha=90.00 beta=110.47 gamma=90.00
Fractional positions:
1 Rb 0.2079 0.2500 0.2325
2 Rb 0.7921 0.7500 0.7675
3 U 0.3322 0.7500 0.8538
4 U 0.6678 0.2500 0.1462
5 Ti 0.0779 0.2500 0.6077
6 Ti 0.9221 0.7500 0.3923
7 S 0.1266 0.2500 0.8643
8 S 0.1909 0.7500 0.5444
9 S 0.4632 0.7500 0.1528
10 S 0.5368 0.2500 0.8472
11 S 0.8091 0.2500 0.4556
12 S 0.8734 0.7500 0.1357

## Properties
Formation energy (no corrections), meV/atom: -1286.7
DFT total energy, eV/cell: -80.51


(12)
First-principles (PBE-GGA) data for RbUTiS6 after structural relaxation, as listed in Alexandria.

Unit cell a=6.4531 b=6.4531 c=7.6132 alpha=90.00 beta=90.00 gamma=120.00
Fractional positions:
1 Rb 0.0000 0.0000 0.0000
2 U 0.6667 0.3333 0.5000
3 Ti 0.3333 0.6667 0.5000
4 S 0.0131 0.3892 0.6906
5 S 0.0131 0.6239 0.3094
6 S 0.3761 0.3892 0.3094
7 S 0.3761 0.9869 0.6906
8 S 0.6108 0.6239 0.6906
9 S 0.6108 0.9869 0.3094

## Properties
Formation energy (no corrections), meV/atom: -1059.4
DFT total energy, eV/cell: -54.45